Compound: Pm7Pr3Nd
Source: Alexandria via LeMat-Bulk
Functional: PBE
Structure: optimized geometry

Energy above the lowest structure with this stoichiometry ... 0.00 kcal/mol of atoms
Size of the total moment ... 0.00 μB/f.u.
Energy of formation from the pure elements ... 167 meV per atom
SG ... P3m1

POSCAR file:
```
Pm7Pr3Nd
1.0
8.850 0.000 0.000
0.000 7.263 0.000
0.000 -3.632 6.290
Pm Pr Nd
7 3 1
Cartesian
1.034 -1.811 5.239
1.034 0.000 2.102
1.091 3.632 2.097
3.975 5.442 1.052
3.975 1.821 1.052
3.975 3.632 4.187
1.034 1.811 5.239
6.933 1.817 3.144
6.933 3.632 0.001
6.933 5.446 3.144
3.922 0.000 4.193
```